! GGA-PBE Ca2YPbW, optimized geometry; values from VASP
&SYSTEM
  ibrav = 0, nat = 5, ntyp = 4
/
ATOMIC_SPECIES
Y 88.91 Y.upf
Pb 207.20 Pb.upf
Ca 40.08 Ca.upf
W 183.84 W.upf
CELL_PARAMETERS angstrom
5.544 0.000 0.000
0.000 5.448 0.000
0.000 0.000 5.544
ATOMIC_POSITIONS angstrom
Y 2.772 2.724 2.772
Pb 0.000 2.724 0.000
Ca 2.772 0.000 0.000
Ca 0.000 0.000 2.772
W 0.000 0.000 0.000
! Total energy, eV/atom: -4.5912
! SG: P4/mmm (123)

=====

! GGA-PBE CaY2Pb, optimized geometry; values from VASP
&SYSTEM
  ibrav = 0, nat = 8, ntyp = 3
/
ATOMIC_SPECIES
Y 88.91 Y.upf
Pb 207.20 Pb.upf
Ca 40.08 Ca.upf
CELL_PARAMETERS angstrom
9.058 0.000 0.000
0.000 9.058 0.000
4.529 4.529 3.369
ATOMIC_POSITIONS angstrom
Y 6.794 6.395 2.527
Y 1.866 6.794 0.842
Y 11.323 11.721 2.527
Y 7.192 2.265 0.842
Pb 0.000 0.000 0.000
Pb 9.058 4.529 1.685
Ca 4.529 4.529 0.000
Ca 4.529 9.058 1.685
! Total energy, eV/atom: -4.6418
! SG: I-42d (122)

=====

! GGA-PBE CaY2Pb, optimized geometry; values from VASP
&SYSTEM
  ibrav = 0, nat = 4, ntyp = 3
/
ATOMIC_SPECIES
Y 88.91 Y.upf
Ca 40.08 Ca.upf
Pb 207.20 Pb.upf
CELL_PARAMETERS angstrom
-4.621 2.717 1.565
-4.033 1.024 -3.724
-4.864 -2.724 0.332
ATOMIC_POSITIONS angstrom
Y -3.379 0.254 -0.457
Y 0.000 0.000 0.000
Ca -6.759 0.509 -0.913
Pb -10.138 0.763 -1.370
! Total energy, eV/atom: -4.7092
! SG: F-43m (216)

=====

! GGA-PBE CaY2Pb, optimized geometry; values from VASP
&SYSTEM
  ibrav = 0, nat = 4, ntyp = 3
/
ATOMIC_SPECIES
Ca 40.08 Ca.upf
Pb 207.20 Pb.upf
Y 88.91 Y.upf
CELL_PARAMETERS angstrom
-1.199 -0.563 3.320
-0.617 -2.702 -2.257
9.930 -4.610 2.803
ATOMIC_POSITIONS angstrom
Ca 1.575 -2.785 1.232
Pb 6.540 -5.090 2.634
Y 5.187 -2.408 1.464
Y 9.708 -4.507 2.741
! Total energy, eV/atom: -4.7541
! SG: Cmmm (65)

=====

! GGA-PBE CaY2Pb, optimized geometry; values from VASP
&SYSTEM
  ibrav = 0, nat = 4, ntyp = 3
/
ATOMIC_SPECIES
Y 88.91 Y.upf
Ca 40.08 Ca.upf
Pb 207.20 Pb.upf
CELL_PARAMETERS angstrom
6.444 -0.002 0.000
2.996 5.705 0.000
-4.720 -2.852 3.334
ATOMIC_POSITIONS angstrom
Y 0.000 0.000 0.000
Y 1.498 2.853 1.667
Ca 4.720 2.852 0.000
Pb 3.222 -0.001 1.667
! Total energy, eV/atom: -4.8979
! SG: I-4m2 (119)

=====

! GGA-PBE CaY2Pb, optimized geometry; values from VASP
&SYSTEM
  ibrav = 0, nat = 4, ntyp = 3
/
ATOMIC_SPECIES
Ca 40.08 Ca.upf
Y 88.91 Y.upf
Pb 207.20 Pb.upf
CELL_PARAMETERS angstrom
-6.028 0.234 -1.521
-1.580 -4.015 -4.483
3.117 -0.477 5.364
ATOMIC_POSITIONS angstrom
Ca -1.134 -3.191 -1.060
Y 0.000 0.000 0.000
Y -3.804 -1.890 -3.002
Pb -3.358 -1.066 0.421
! Total energy, eV/atom: -4.8693
! SG: I4/mmm (139)

=====

! GGA-PBE Ca5YPb6, optimized geometry; values from VASP
&SYSTEM
  ibrav = 0, nat = 12, ntyp = 3
/
ATOMIC_SPECIES
Ca 40.08 Ca.upf
Pb 207.20 Pb.upf
Y 88.91 Y.upf
CELL_PARAMETERS angstrom
5.790 -0.128 0.352
-0.019 6.715 2.753
0.448 0.111 9.297
ATOMIC_POSITIONS angstrom
Ca -0.010 3.358 1.376
Ca 2.026 2.233 4.134
Ca 4.220 1.147 6.794
Ca 4.193 4.465 8.267
Ca 1.999 5.551 5.607
Pb 1.299 6.217 8.864
Pb 2.881 5.045 2.270
Pb 4.911 3.913 4.945
Pb 1.308 2.785 7.457
Pb 3.338 1.654 10.131
Pb 4.920 0.481 3.537
Y 0.000 0.000 0.000
! Total energy, eV/atom: -3.7397
! SG: C2/m (12)

=====

! GGA-PBE CaY2Pb, optimized geometry; values from VASP
&SYSTEM
  ibrav = 0, nat = 4, ntyp = 3
/
ATOMIC_SPECIES
Y 88.91 Y.upf
Ca 40.08 Ca.upf
Pb 207.20 Pb.upf
CELL_PARAMETERS angstrom
-0.021 6.311 0.557
-5.893 -3.080 0.458
-0.610 0.014 3.452
ATOMIC_POSITIONS angstrom
Y 0.000 0.000 0.000
Y -0.315 3.163 2.005
Ca -3.251 -1.533 1.955
Pb -2.957 1.616 0.508
! Total energy, eV/atom: -4.8111
! SG: C2/m (12)

=====

! GGA-PBE CaY3Pb, optimized geometry; values from VASP
&SYSTEM
  ibrav = 0, nat = 5, ntyp = 3
/
ATOMIC_SPECIES
Pb 207.20 Pb.upf
Y 88.91 Y.upf
Ca 40.08 Ca.upf
CELL_PARAMETERS angstrom
5.575 0.000 0.000
0.000 5.575 0.000
0.000 0.000 5.575
ATOMIC_POSITIONS angstrom
Pb 2.788 2.788 2.788
Y 0.000 0.000 2.788
Y 2.788 0.000 0.000
Y 0.000 2.788 0.000
Ca 0.000 0.000 0.000
! Total energy, eV/atom: -4.1699
! SG: Pm-3m (221)

=====

! GGA-PBE CaY2Pb, optimized geometry; values from VASP
&SYSTEM
  ibrav = 0, nat = 4, ntyp = 3
/
ATOMIC_SPECIES
Pb 207.20 Pb.upf
Y 88.91 Y.upf
Ca 40.08 Ca.upf
CELL_PARAMETERS angstrom
-8.602 2.607 -7.193
-9.537 -0.858 -6.392
-10.565 1.885 -4.168
ATOMIC_POSITIONS angstrom
Pb -21.527 2.725 -13.315
Y -0.222 0.028 -0.138
Y -14.129 1.789 -8.739
Ca -7.176 0.908 -4.438
! Total energy, eV/atom: -4.7515
! SG: R-3m (166)

=====

! GGA-PBE CaY2Pb, optimized geometry; values from VASP
&SYSTEM
  ibrav = 0, nat = 4, ntyp = 3
/
ATOMIC_SPECIES
Y 88.91 Y.upf
Ca 40.08 Ca.upf
Pb 207.20 Pb.upf
CELL_PARAMETERS angstrom
3.719 0.000 0.000
0.000 4.761 0.000
0.000 0.000 7.064
ATOMIC_POSITIONS angstrom
Y 0.000 0.000 7.030
Y 1.859 2.381 1.677
Ca 0.000 0.000 3.611
Pb 1.859 2.381 5.343
! Total energy, eV/atom: -4.8761
! SG: Pmm2 (25)

=====

! GGA-PBE Ca4YPb15, optimized geometry; values from VASP
&SYSTEM
  ibrav = 0, nat = 20, ntyp = 3
/
ATOMIC_SPECIES
Pb 207.20 Pb.upf
Ca 40.08 Ca.upf
Y 88.91 Y.upf
CELL_PARAMETERS angstrom
-4.530 -0.924 1.664
-0.591 -3.401 -3.497
9.130 -17.276 15.263
ATOMIC_POSITIONS angstrom
Pb 1.087 -9.064 5.181
Pb 2.300 -9.100 8.464
Pb 4.752 -16.000 11.309
Pb 4.270 -10.339 5.883
Pb 6.100 -13.803 8.944
Pb -1.363 -2.168 2.340
Pb 2.439 -6.874 2.823
Pb 5.963 -16.031 14.588
Pb -2.560 -2.163 -0.916
Pb 2.922 -12.537 8.250
Pb 4.131 -12.564 11.524
Pb 0.469 -5.636 5.403
Pb 7.933 -17.270 12.007
Pb -0.743 -5.601 2.121
Pb 0.606 -3.407 -0.241
Ca 3.650 -6.906 6.101
Ca 5.480 -10.370 9.162
Ca 7.320 -13.852 12.238
Ca 1.810 -3.424 3.025
Y 0.000 0.000 0.000
! Total energy, eV/atom: -3.8174
! SG: P4/mmm (123)